1.
# CsH3AuN

A relaxed structure of CsH3AuN (PBE, Alexandria via LeMat-Bulk).

Structure (POSCAR):
```
CsH3AuN
1.0
5.2800 0.0989 0.2883
0.4101 5.2650 0.2883
1.9112 1.8016 16.7383
Cs H Au N
4 12 4 4
Cartesian
5.9629 1.9609 15.2291
6.2478 2.2294 10.4550
1.6384 5.2046 2.0859
1.3535 4.9361 6.8599
6.4530 4.6679 13.0011
3.5165 1.8998 12.6830
1.1483 2.4975 4.3139
4.0848 5.2656 4.6320
2.5978 4.2512 11.9584
4.1599 5.7237 13.7257
5.0035 2.9142 5.3566
3.4414 1.4417 3.5892
2.4874 4.1686 13.6120
4.2489 5.8291 12.0721
5.1139 2.9969 3.7030
3.3524 1.3364 5.2429
4.1113 2.6509 1.1789
3.7570 2.3168 7.7670
3.4900 4.5146 16.1361
3.8443 4.8486 9.5480
1.9861 3.9418 12.7338
4.5048 6.3161 12.9503
5.6152 3.2236 4.5812
3.0965 0.8494 4.3646
```

Crystal system ... monoclinic
Total energy ... -4.103 eV per atom

2.
# CsH6Au2N2

A relaxed structure of CsH6Au2N2 (PBE, Alexandria via LeMat-Bulk).

Structure (POSCAR):
```
CsH6Au2N2
1.0
5.2044 -0.4565 -0.2795
2.0996 5.5593 -0.4457
-0.0318 -3.3393 6.9427
Cs H Au N
1 6 2 2
Cartesian
2.5863 -1.8979 3.3316
3.0002 1.3971 5.0781
0.6232 0.6904 1.8010
0.1759 -2.7065 5.6220
6.6490 1.0731 4.4165
7.0963 4.4700 0.5955
4.2720 0.3664 1.1394
4.9217 -0.8026 6.3663
2.3504 2.5661 -0.1487
2.3431 2.0126 4.5776
4.9291 -0.2491 1.6399
```

Crystal system ... triclinic
Total energy ... -4.298 eV per atom

3.
# CsNaH6Au2

A relaxed structure of CsNaH6Au2 (PBE, Alexandria via LeMat-Bulk).

Structure (POSCAR):
```
CsNaH6Au2
1.0
-5.3689 1.5393 -4.3950
4.0430 -1.4037 -5.6741
-1.6950 -6.1396 1.6542
Cs Na H Au
2 2 12 4
Cartesian
2.4821 -2.5831 -5.1060
-5.5031 -3.4209 -3.3089
-1.6492 -1.2912 -4.5446
-1.3718 -4.7128 -3.8703
-4.2591 -0.6973 -5.1409
-3.9031 -0.3642 -3.2873
1.2381 -5.3067 -3.2740
0.8821 -5.6398 -5.1276
-0.2466 -1.0705 -2.3160
-1.2050 -2.0894 -7.0241
-2.7744 -4.9335 -6.0989
-1.8159 -3.9145 -1.3908
-0.0827 -2.9806 -3.7408
0.3418 -0.7143 -5.8318
-2.9383 -3.0234 -4.6741
-3.3628 -5.2897 -2.5831
-3.2123 -4.7737 -0.9889
-3.4964 -3.4119 -6.2129
0.1914 -1.2303 -7.4260
0.4755 -2.5920 -2.2020
```

Crystal system ... monoclinic
Total energy ... -2.979 eV per atom

4.
# Cs2NaH6Au2

A relaxed structure of Cs2NaH6Au2 (PBE, Alexandria via LeMat-Bulk).

Structure (POSCAR):
```
Cs2NaH6Au2
1.0
5.8996 0.0000 0.0000
-2.9498 6.3757 -0.0133
0.0000 -3.7372 5.8524
Cs Na H Au
2 1 6 2
Cartesian
2.9498 1.8943 1.1607
0.0000 0.7442 4.6784
2.9498 -1.8686 2.9262
2.9498 1.5698 5.0618
1.6642 -0.8375 1.4540
-1.2856 3.4761 4.3851
1.2856 3.4761 4.3851
4.2354 -0.8375 1.4540
0.0000 1.0687 0.7773
2.9498 3.3763 4.4832
0.0000 -0.7378 1.3559
```

Crystal system ... monoclinic
Total energy ... -2.801 eV per atom

5.
# Cs2NaHAu

A relaxed structure of Cs2NaHAu (PBE, Alexandria via LeMat-Bulk).

Structure (POSCAR):
```
Cs2NaHAu
1.0
6.1748 0.0000 0.0000
0.0000 6.1748 0.0000
0.0000 0.0000 4.7689
Cs Na Au H
2 1 1 1
Cartesian
0.0000 3.0874 0.0000
3.0874 0.0000 0.0000
0.0000 0.0000 2.3845
3.0874 3.0874 2.3845
0.0000 0.0000 0.0000
```

Crystal system ... tetragonal
Total energy ... -2.039 eV per atom

6.
# Cs2HAuO

A relaxed structure of Cs2HAuO (PBE, Alexandria via LeMat-Bulk).

Structure (POSCAR):
```
Cs2HAuO
1.0
-1.4329 1.0534 -4.3685
-7.0656 -1.3111 2.0014
1.9633 9.4156 1.6264
Cs H Au O
4 2 2 2
Cartesian
-5.4855 5.5558 -0.6805
-6.5384 0.1262 -1.6444
-1.0497 3.6021 -0.0603
0.0032 9.0316 0.9036
-3.5778 6.8621 1.5550
-2.9574 2.2958 -2.2958
-4.4995 2.2166 0.7372
-2.0357 6.9413 -1.4779
-4.4841 7.0132 1.8888
-2.0511 2.1447 -2.6295
```

Crystal system ... monoclinic
Total energy ... -3.571 eV per atom

7.
# CsHOs2Au

A relaxed structure of CsHOs2Au (PBE, Alexandria via LeMat-Bulk).

Structure (POSCAR):
```
CsHOs2Au
1.0
4.0022 0.0000 0.0000
0.0000 5.6730 0.0000
0.0000 0.0000 4.0022
Cs Os Au H
1 2 1 1
Cartesian
0.0000 2.8365 0.0000
0.0000 0.0000 2.0011
2.0011 0.0000 0.0000
2.0011 2.8365 2.0011
0.0000 0.0000 0.0000
```

Crystal system ... tetragonal
Total energy ... -4.388 eV per atom

8.
# Cs2H6PbAu

A relaxed structure of Cs2H6PbAu (PBE, Alexandria via LeMat-Bulk).

Structure (POSCAR):
```
Cs2H6PbAu
1.0
-4.8712 -2.7941 1.7263
0.4712 -3.6536 -4.5765
0.7679 -6.5678 1.5466
Cs H Pb Au
2 6 1 1
Cartesian
-3.1513 -6.2930 0.9235
-0.4808 -6.7226 -2.2272
-0.4837 -5.1558 0.2931
-2.3545 -11.1412 -0.4763
-1.0817 -3.4038 -2.7445
-3.3183 -3.0439 -0.1057
-1.2776 -1.8743 -0.8273
-3.1485 -7.8598 -1.5968
-4.4000 -6.4477 -2.8502
-2.2000 -3.2239 -1.4251
```

Crystal system ... tetragonal
Total energy ... -2.870 eV per atom

9.
# Cs3H3Pb2Au2

A relaxed structure of Cs3H3Pb2Au2 (PBE, Alexandria via LeMat-Bulk).

Structure (POSCAR):
```
Cs3H3Pb2Au2
1.0
-0.0105 -4.7159 -1.4003
1.1779 -1.3620 4.5780
-13.5814 2.1531 1.4918
Cs H Pb Au
3 3 2 2
Cartesian
-2.5639 -3.2535 2.3349
-9.8501 -0.6713 2.3346
0.0000 0.0000 0.0000
-9.4905 -3.7255 3.9765
0.5837 -3.0390 1.5888
-2.9236 -0.1992 0.6929
-7.3463 -3.5794 3.4683
-5.0678 -0.3454 1.2011
-6.5041 -2.8009 0.8401
-5.9099 -1.1239 3.8293
```

Crystal system ... tetragonal
Total energy ... -2.747 eV per atom

10.
# Cs2HPdAu

A relaxed structure of Cs2HPdAu (PBE, Alexandria via LeMat-Bulk).

Structure (POSCAR):
```
Cs2HPdAu
1.0
-3.3986 5.4912 -0.5018
-4.8572 -2.7023 3.3258
1.4580 1.1849 3.0922
Cs H Au Pd
2 1 1 1
Cartesian
-2.4286 -1.3511 1.6629
-1.6993 2.7456 -0.2509
0.0000 0.0000 0.0000
-3.3989 1.9869 2.9581
0.7290 0.5925 1.5461
```

E above lowest polymorph ... 0.000 eV per atom
Crystal system ... tetragonal
Total energy ... -2.864 eV per atom

11.
# Cs2HPtAu

A relaxed structure of Cs2HPtAu (PBE, Alexandria via LeMat-Bulk).

Structure (POSCAR):
```
Cs2HPtAu
1.0
6.4880 0.0000 0.0000
0.0000 6.4880 0.0000
0.0000 0.0000 3.5323
Cs H Au Pt
2 1 1 1
Cartesian
0.0000 3.2440 0.0000
3.2440 0.0000 0.0000
0.0000 0.0000 0.0000
3.2440 3.2440 1.7661
0.0000 0.0000 1.7661
```

E above lowest polymorph ... 0.000 eV per atom
Crystal system ... tetragonal
Total energy ... -2.984 eV per atom

12.
# Cs2HPtAu

A relaxed structure of Cs2HPtAu (PBE, Alexandria via LeMat-Bulk).

Structure (POSCAR):
```
Cs2HPtAu
1.0
6.6082 0.0000 0.0000
0.0000 6.6082 0.0000
0.0000 0.0000 3.5257
Cs H Au Pt
2 1 1 1
Cartesian
0.0000 3.3041 0.0000
3.3041 0.0000 0.0000
0.0000 0.0000 1.7629
3.3041 3.3041 1.7629
0.0000 0.0000 0.0000
```

E above lowest polymorph ... 0.029 eV per atom
Crystal system ... tetragonal
Total energy ... -2.956 eV per atom